Compound: Mg6BWO8
Source: Alexandria via LeMat-Bulk
Functional: GGA+U
Structure: relaxed

Cell lengths 4.3057, 4.3057, 8.9565 Å; angles 90.00, 90.00, 90.00 degrees
Atoms (fractional coordinates):
Mg: 0.0000 0.0000 0.0000
Mg: 0.0000 0.0000 0.5000
Mg: 0.0000 0.5000 0.2292
Mg: 0.0000 0.5000 0.7708
Mg: 0.5000 0.0000 0.2292
Mg: 0.5000 0.0000 0.7708
B: 0.5000 0.5000 0.0000
W: 0.5000 0.5000 0.5000
O: 0.0000 0.0000 0.2496
O: 0.0000 0.0000 0.7504
O: 0.0000 0.5000 0.0000
O: 0.0000 0.5000 0.5000
O: 0.5000 0.0000 0.0000
O: 0.5000 0.0000 0.5000
O: 0.5000 0.5000 0.2610
O: 0.5000 0.5000 0.7390

Properties
Total moment ... 3.00 μB/cell
E above lowest polymorph ... 20 meV per atom
Crystal system ... tetragonal
V ... 10.4 A^3/atom
Mass density ... 4.7 g/cm³
D(E_F) ... 0.063 states/eV per atom